Here is a geometry-optimized CaSmDy2 structure from Alexandria via LeMat-Bulk. Energies are from GGA-PBE.

Computed properties:
The value obtained for the energy of formation is 0.12 eV/atom. For the energy above the lowest structure with this stoichiometry, the calculation gives 0.060 eV per atom. The value obtained for the spin magnetization is 0.000 μB per formula unit.

Geometry as CIF:
```
data_CaSmDy2
_space_group_name_H-M_alt 'C 1 2/m 1'
_space_group_IT_number 12
_space_group_name_Hall '-C 2y'
_cell_length_a 24.076
_cell_length_b 3.509
_cell_length_c 6.472
_cell_angle_alpha 90.00
_cell_angle_beta 94.13
_cell_angle_gamma 90.00
loop_
_atom_site_label
_atom_site_fract_x
_atom_site_fract_y
_atom_site_fract_z
Ca1 0.001 0.000 0.249
Sm1 0.248 0.000 0.249
Dy1 0.126 0.500 0.037
Dy2 0.135 0.000 0.546
```



Here is a geometry-optimized Rb2Pb3Cl8 structure from Alexandria via LeMat-Bulk. Energies are from GGA-PBE.

Computed properties:
The value obtained for the raw formation energy is -1.4263 eV per atom. The value obtained for the spin magnetization is 0.000 μB per formula unit.

Geometry as CIF:
```
data_Rb2Pb3Cl8
_space_group_name_H-M_alt 'C 1 2/m 1'
_space_group_IT_number 12
_space_group_name_Hall '-C 2y'
_cell_length_a 15.987
_cell_length_b 8.807
_cell_length_c 7.494
_cell_angle_alpha 90.00
_cell_angle_beta 109.58
_cell_angle_gamma 90.00
loop_
_atom_site_label
_atom_site_fract_x
_atom_site_fract_y
_atom_site_fract_z
Rb1 0.228 0.000 0.161
Pb1 0.000 0.240 0.500
Pb2 0.000 0.500 0.000
Cl1 0.105 0.500 0.408
Cl2 0.110 0.000 0.450
Cl3 0.110 0.275 0.896
```



Here is a geometry-optimized TeOs2W structure from Alexandria via LeMat-Bulk. Energies are from GGA-PBE.

Computed properties:
The value obtained for the raw formation energy is 0.6786 eV per atom. The value obtained for the spin magnetization is 0.000 μB per formula unit.

Geometry as CIF:
```
data_TeOs2W
_space_group_name_H-M_alt 'P 4 m m'
_space_group_IT_number 99
_space_group_name_Hall 'P 4 -2'
_cell_length_a 3.019
_cell_length_b 3.019
_cell_length_c 7.250
_cell_angle_alpha 90.00
_cell_angle_beta 90.00
_cell_angle_gamma 90.00
loop_
_atom_site_label
_atom_site_fract_x
_atom_site_fract_y
_atom_site_fract_z
Te1 0.000 0.000 0.000
Os1 0.000 0.000 0.501
Os2 0.500 0.500 0.759
W1 0.500 0.500 0.275
```



Here is a geometry-optimized BiPb3Se structure from Alexandria via LeMat-Bulk. Energies are from GGA-PBE.

Computed properties:
The value obtained for the raw formation energy is 0.1517 eV per atom. For the energy above the lowest structure with this stoichiometry, the calculation gives 0.000 eV per atom. The value obtained for the spin magnetization is 0.000 μB per formula unit.

Geometry as CIF:
```
data_BiPb3Se
_space_group_name_H-M_alt 'P m -3 m'
_space_group_IT_number 221
_space_group_name_Hall '-P 4 2 3'
_cell_length_a 5.694
_cell_length_b 5.694
_cell_length_c 5.694
_cell_angle_alpha 90.00
_cell_angle_beta 90.00
_cell_angle_gamma 90.00
loop_
_atom_site_label
_atom_site_fract_x
_atom_site_fract_y
_atom_site_fract_z
Bi1 0.000 0.000 0.000
Pb1 0.000 0.500 0.500
Se1 0.500 0.500 0.500
```



Here is a geometry-optimized LiCu3P structure from Alexandria via LeMat-Bulk. Energies are from GGA-PBE.

Computed properties:
The value obtained for the energy of formation is 0.04 eV/atom. For the energy above the lowest structure with this stoichiometry, the calculation gives 0.087 eV per atom. The value obtained for the spin magnetization is 0.000 μB per formula unit.

Geometry as CIF:
```
data_LiCu3P
_space_group_name_H-M_alt 'P m -3 m'
_space_group_IT_number 221
_space_group_name_Hall '-P 4 2 3'
_cell_length_a 4.335
_cell_length_b 4.335
_cell_length_c 4.335
_cell_angle_alpha 90.00
_cell_angle_beta 90.00
_cell_angle_gamma 90.00
loop_
_atom_site_label
_atom_site_fract_x
_atom_site_fract_y
_atom_site_fract_z
Li1 0.000 0.000 0.000
Cu1 0.000 0.500 0.500
P1 0.500 0.500 0.500
```



Here is a geometry-optimized CsDySn2 structure from Alexandria via LeMat-Bulk. Energies are from GGA-PBE.

Computed properties:
The value obtained for the energy of formation is -0.43 eV/atom. The value obtained for the spin magnetization is 0.000 μB per formula unit.

Geometry as CIF:
```
data_CsDySn2
_space_group_name_H-M_alt 'P 4/m m m'
_space_group_IT_number 123
_space_group_name_Hall '-P 4 2'
_cell_length_a 4.113
_cell_length_b 4.113
_cell_length_c 8.491
_cell_angle_alpha 90.00
_cell_angle_beta 90.00
_cell_angle_gamma 90.00
loop_
_atom_site_label
_atom_site_fract_x
_atom_site_fract_y
_atom_site_fract_z
Cs1 0.000 0.000 0.000
Dy1 0.000 0.000 0.500
Sn1 0.500 0.500 0.328
```



Here is a geometry-optimized MnNi2Ir2 structure from Alexandria via LeMat-Bulk. Energies are from GGA-PBE.

Computed properties:
The value obtained for the energy of formation is 0.36 eV/atom. For the energy above the lowest structure with this stoichiometry, the calculation gives 0.333 eV per atom. The value obtained for the spin magnetization is 0.000 μB per formula unit.

Geometry as CIF:
```
data_MnNi2Ir2
_space_group_name_H-M_alt 'P 4/m b m'
_space_group_IT_number 127
_space_group_name_Hall '-P 4 2ab'
_cell_length_a 6.880
_cell_length_b 6.880
_cell_length_c 2.737
_cell_angle_alpha 90.00
_cell_angle_beta 90.00
_cell_angle_gamma 90.00
loop_
_atom_site_label
_atom_site_fract_x
_atom_site_fract_y
_atom_site_fract_z
Mn1 0.000 0.000 0.000
Ni1 0.124 0.376 0.000
Ir1 0.175 0.675 0.500
```



Here is a geometry-optimized Dy6Y2Tm3In structure from Alexandria via LeMat-Bulk. Energies are from GGA-PBE.

Computed properties:
The value obtained for the energy of formation is -0.04 eV/atom. The value obtained for the spin magnetization is 0.000 μB per formula unit.

Geometry as CIF:
```
data_Dy6Y2Tm3In
_space_group_name_H-M_alt 'C 1 2/m 1'
_space_group_IT_number 12
_space_group_name_Hall '-C 2y'
_cell_length_a 6.054
_cell_length_b 10.491
_cell_length_c 11.616
_cell_angle_alpha 90.00
_cell_angle_beta 100.04
_cell_angle_gamma 90.00
loop_
_atom_site_label
_atom_site_fract_x
_atom_site_fract_y
_atom_site_fract_z
Dy1 0.246 0.000 0.249
Dy2 0.248 0.164 0.750
Y1 0.000 0.334 0.500
Tm1 0.000 0.167 0.000
Tm2 0.000 0.500 0.000
In1 0.000 0.000 0.500
```



Here is a geometry-optimized BaMnTlGa2 structure from Alexandria via LeMat-Bulk. Energies are from GGA-PBE.

Computed properties:
The value obtained for the energy of formation is -0.17 eV/atom. The value obtained for the spin magnetization is 0.000 μB per formula unit.

Geometry as CIF:
```
data_BaMnTlGa2
_space_group_name_H-M_alt 'P 4/m m m'
_space_group_IT_number 123
_space_group_name_Hall '-P 4 2'
_cell_length_a 4.839
_cell_length_b 4.839
_cell_length_c 5.145
_cell_angle_alpha 90.00
_cell_angle_beta 90.00
_cell_angle_gamma 90.00
loop_
_atom_site_label
_atom_site_fract_x
_atom_site_fract_y
_atom_site_fract_z
Ba1 0.000 0.000 0.000
Mn1 0.500 0.500 0.500
Tl1 0.500 0.500 0.000
Ga1 0.000 0.500 0.500
```



Here is a geometry-optimized Th4NiPb structure from Alexandria via LeMat-Bulk. Energies are from GGA-PBE.

Computed properties:
The value obtained for the energy of formation is -0.19 eV/atom. The value obtained for the spin magnetization is 0.000 μB per formula unit.

Geometry as CIF:
```
data_Th4NiPb
_space_group_name_H-M_alt 'P 4/m c c'
_space_group_IT_number 124
_space_group_name_Hall '-P 4 2c'
_cell_length_a 7.505
_cell_length_b 7.505
_cell_length_c 6.062
_cell_angle_alpha 90.00
_cell_angle_beta 90.00
_cell_angle_gamma 90.00
loop_
_atom_site_label
_atom_site_fract_x
_atom_site_fract_y
_atom_site_fract_z
Th1 0.141 0.322 0.000
Ni1 0.000 0.000 0.250
Pb1 0.500 0.500 0.250
```



Here is a geometry-optimized PrDyCdGa structure from Alexandria via LeMat-Bulk. Energies are from GGA-PBE.

Computed properties:
The value obtained for the energy of formation is -0.43 eV/atom. For the energy above the lowest structure with this stoichiometry, the calculation gives 0.022 eV per atom. The value obtained for the spin magnetization is 0.000 μB per formula unit.

Geometry as CIF:
```
data_PrDyCdGa
_space_group_name_H-M_alt 'F -4 3 m'
_space_group_IT_number 216
_space_group_name_Hall 'F -4 2 3'
_cell_length_a 7.475
_cell_length_b 7.475
_cell_length_c 7.475
_cell_angle_alpha 90.00
_cell_angle_beta 90.00
_cell_angle_gamma 90.00
loop_
_atom_site_label
_atom_site_fract_x
_atom_site_fract_y
_atom_site_fract_z
Pr1 0.000 0.000 0.000
Dy1 0.000 0.000 0.500
Cd1 0.250 0.250 0.250
Ga1 0.250 0.250 0.750
```